No. 1
K4Er3HfSe8: relaxed, GGA-PBE.

Results
- crystal system = trigonal
- spin magnetization (Bohr magnetons per cell) = 0.00
- E_form (uncorrected) (meV per atom) = -1619.6

POSCAR file:
```
K4Er3HfSe8
1.0
4.1046 2.3698 7.6889
-4.1046 2.3698 7.6889
0.0000 -4.7396 7.6889
K Er Hf Se
4 3 1 8
Direct
0.0000 0.0000 0.0000
0.0000 0.5000 0.5000
0.5000 0.0000 0.5000
0.5000 0.5000 0.0000
0.0000 0.0000 0.5000
0.0000 0.5000 0.0000
0.5000 0.0000 0.0000
0.5000 0.5000 0.5000
0.2355 0.2355 0.2355
0.2467 0.7275 0.7275
0.2725 0.2725 0.7533
0.2725 0.7533 0.2725
0.7275 0.2467 0.7275
0.7275 0.7275 0.2467
0.7533 0.2725 0.2725
0.7645 0.7645 0.7645
```

***

No. 2
Nd4YRh4: relaxed, GGA-PBE.

Results
- crystal system = tetragonal
- energy of formation (eV/atom) = -0.5694
- spin magnetization (Bohr magnetons per cell) = 0.00

POSCAR file:
```
Nd4YRh4
1.0
8.9427 0.0000 0.0000
0.0000 8.9427 0.0000
0.0000 0.0000 5.7911
Nd Y Rh
8 2 8
Direct
0.0603 0.6670 0.1555
0.1670 0.9397 0.6555
0.3330 0.5603 0.6555
0.4397 0.8330 0.1555
0.5603 0.1670 0.8445
0.6670 0.4397 0.3445
0.8330 0.0603 0.3445
0.9397 0.3330 0.8445
0.2500 0.2500 0.2500
0.7500 0.7500 0.7500
0.0235 0.6286 0.6483
0.1286 0.9765 0.1483
0.3714 0.5235 0.1483
0.4765 0.8714 0.6483
0.5235 0.1286 0.3517
0.6286 0.4765 0.8517
0.8714 0.0235 0.8517
0.9765 0.3714 0.3517
```

***

No. 3
AcThBiPb: relaxed, GGA-PBE.

Results
- crystal system = cubic
- energy of formation (eV/atom) = -0.3972
- spin magnetization (Bohr magnetons per cell) = 0.00

POSCAR file:
```
AcThBiPb
1.0
0.0000 4.0535 4.0535
4.0535 0.0000 4.0535
4.0535 4.0535 0.0000
Ac Th Bi Pb
1 1 1 1
Direct
0.0000 0.0000 0.0000
0.5000 0.5000 0.5000
0.2500 0.2500 0.2500
0.7500 0.7500 0.7500
```